Record 1
# NaSrNdAl

A relaxed structure of NaSrNdAl (GGA-PBE, the Alexandria database).

Geometry as POSCAR:
```
NaSrNdAl
1.0
0.000 3.979 3.979
3.979 0.000 3.979
3.979 3.979 0.000
Na Sr Nd Al
1 1 1 1
Direct
0.000 0.000 0.000
0.250 0.250 0.250
0.750 0.750 0.750
0.500 0.500 0.500
```

- Crystal system: cubic
- Theoretical density: 3.71 g/cm3
- DOS at the Fermi energy: 1.008 states/eV per atom
- Uncorrected energy: -11.5 eV per cell
- Formation energy: 0.005 eV per atom

---

Record 2
# Ba3SmBi2O9

A relaxed structure of Ba3SmBi2O9 (GGA-PBE, the Alexandria database).

Geometry as POSCAR:
```
Ba3SmBi2O9
1.0
6.250 0.000 0.000
-3.125 5.412 0.000
0.000 0.000 7.657
Ba Sm Bi O
3 1 2 9
Direct
0.000 0.000 0.000
0.333 0.667 0.672
0.667 0.333 0.328
0.000 0.000 0.500
0.333 0.667 0.169
0.667 0.333 0.831
0.000 0.500 0.000
0.171 0.342 0.327
0.171 0.829 0.327
0.342 0.171 0.673
0.500 0.000 0.000
0.500 0.500 0.000
0.658 0.829 0.327
0.829 0.171 0.673
0.829 0.658 0.673
```

- Crystal system: trigonal
- Theoretical density: 7.21 g/cm3
- DOS at the Fermi energy: 0.190 states/eV per atom
- Uncorrected energy: -95.2 eV per cell